Zn2InHg: optimized geometry, PBE.

abc: 4.392 4.392 8.543
angles: 90.00 90.00 90.00
Element x y z (fractional)
Zn (0.000, 0.500, 0.250)
Zn (0.000, 0.500, 0.750)
Zn (0.500, 0.000, 0.250)
Zn (0.500, 0.000, 0.750)
In (0.000, 0.000, 0.000)
In (0.500, 0.500, 0.500)
Hg (0.000, 0.000, 0.500)
Hg (0.500, 0.500, 0.000)

## Properties
For the final energy, the calculation gives -1.263 eV/atom. As for the formation energy: 0.1342 eV/atom.